[1]
AsIr2Pt at its PBEsol-relaxed geometry, computed with meta-GGA SCAN.

The space group is I4/mmm (No. 139) and the conventional cell measures 4.0602, 4.0602 and 7.1578 Å, with angles of 90.00, 90.00 and 90.00 degrees. Symmetry generates all atoms from As at (0.0000, 0.0000, 0.0000), Ir at (0.0000, 0.5000, 0.2500) and Pt at (0.0000, 0.0000, 0.5000).

The theoretical density comes out at 18419 kg/m³. The density of states at the Fermi level is 1.145 states/eV/atom. The value obtained for the energy of formation from the pure elements is 0.2964 eV per atom.

***

[2]
AsIr2Pt at its PBEsol-relaxed geometry, computed with meta-GGA SCAN.

The space group is I-4m2 (No. 119) and the conventional cell measures 3.9190, 3.9190 and 7.7291 Å, with angles of 90.00, 90.00 and 90.00 degrees. Symmetry generates all atoms from As at (0.0000, 0.0000, 0.0000), Ir at (0.0000, 0.0000, 0.5000), Ir at (0.0000, 0.5000, 0.2500) and Pt at (0.0000, 0.5000, 0.7500).

The theoretical density comes out at 18309 kg/m³. The density of states at the Fermi level is 1.084 states/eV/atom. The value obtained for the energy of formation from the pure elements is 0.3302 eV per atom.